# 1
Entry from the Alexandria database: Fe2TeO6 at its PBEsol-relaxed geometry (SCAN).

```
Fe2TeO6
1.0
-0.4843 -0.4027 4.3896
-2.9444 -3.2567 -0.6237
6.6386 -6.0362 0.1787
O Te Fe
12 2 4
direct
0.8005 0.1995 0.8257
0.3178 0.3178 0.0000
0.1822 0.8178 0.5000
0.6822 0.6822 0.0000
0.3005 0.3005 0.3257
0.6995 0.6995 0.3257
0.1995 0.8005 0.8257
0.8178 0.1822 0.5000
0.6995 0.6995 0.6743
0.8005 0.1995 0.1743
0.1995 0.8005 0.1743
0.3005 0.3005 0.6743
0.5000 0.5000 0.5000
0.0000 0.0000 0.0000
0.5000 0.5000 0.8316
0.5000 0.5000 0.1684
0.0000 0.0000 0.3316
0.0000 0.0000 0.6684
```

Computed properties:
magnetic moment	2.0	μB per formula unit
uncorrected formation energy	-1.38	eV/atom

=====

# 2
Entry from the Alexandria database: FeTe2O at its PBEsol-relaxed geometry (SCAN).

```
FeTe2O
1.0
-5.3005 0.0093 0.2897
-0.1739 -4.3477 -3.0407
2.9879 -1.1232 6.0688
O Fe Te
2 2 4
direct
0.5000 0.5000 0.0000
0.7500 0.2500 0.5000
0.0000 0.0000 0.0000
0.2500 0.7500 0.5000
0.1250 0.1241 0.7500
0.3741 0.8750 0.2500
0.6250 0.6259 0.7500
0.8759 0.3750 0.2500
```

Computed properties:
magnetic moment	1.7	μB per formula unit
uncorrected formation energy	0.15	eV/atom

=====

# 3
Entry from the Alexandria database: TiFe2O4 at its PBEsol-relaxed geometry (SCAN).

```
TiFe2O4
1.0
-0.4749 -5.8130 0.9797
5.0989 2.3925 -1.1829
-2.7148 1.0820 5.1028
O Fe Ti
8 4 2
direct
0.2343 0.5067 0.2533
0.7723 0.5067 0.2533
0.2277 0.4933 0.7467
0.7657 0.4933 0.7467
0.2510 0.0020 0.2839
0.7490 0.9981 0.2819
0.2510 0.0019 0.7181
0.7490 0.9980 0.7161
0.6300 0.7600 0.8800
0.3700 0.2400 0.1200
0.0000 0.0000 0.5000
0.5000 0.0000 0.5000
0.0000 0.5000 0.5000
0.0000 0.5000 0.0000
```

Computed properties:
energy above the most stable polymorph in this dataset	0.000	eV/atom
magnetic moment	4.0	μB per formula unit
uncorrected formation energy	-2.15	eV/atom

=====

# 4
Entry from the Alexandria database: TiFe3O6 at its PBEsol-relaxed geometry (SCAN).

```
TiFe3O6
1.0
-4.4844 0.1570 -1.6687
-0.9080 -1.2130 -4.5413
-2.4341 -4.7365 -0.7716
O Fe Ti
6 3 1
direct
0.5768 0.9164 0.2550
0.0484 0.7605 0.7498
0.4413 0.0484 0.7498
0.2519 0.5768 0.2550
0.9164 0.2519 0.2550
0.7605 0.4413 0.7498
0.8432 0.8432 0.4703
0.6557 0.6557 0.0328
0.3487 0.3487 0.9539
0.1571 0.1571 0.5286
```

Computed properties:
magnetic moment	6.0	μB per formula unit
uncorrected formation energy	-2.03	eV/atom

=====

# 5
Entry from the Alexandria database: TiFe2O4 at its PBEsol-relaxed geometry (SCAN).

```
TiFe2O4
1.0
2.9077 0.0000 0.0000
-1.4538 4.7296 0.0000
0.0000 0.0000 10.3894
O Ti Fe
8 2 4
direct
0.2161 0.4322 0.3817
0.9624 0.9248 0.2306
0.7839 0.5678 0.8817
0.2431 0.4862 0.1001
0.0376 0.0752 0.7306
0.4969 0.9938 0.9953
0.5031 0.0062 0.4953
0.7569 0.5138 0.6001
0.8663 0.7325 0.0724
0.1337 0.2675 0.5724
0.4171 0.8342 0.8075
0.1308 0.2616 0.9130
0.8692 0.7383 0.4130
0.5829 0.1658 0.3075
```

Computed properties:
energy above the most stable polymorph in this dataset	0.029	eV/atom
magnetic moment	8.0	μB per formula unit
uncorrected formation energy	-2.12	eV/atom

=====

# 6
Entry from the Alexandria database: Ti3Fe9O16 at its PBEsol-relaxed geometry (SCAN).

```
Ti3Fe9O16
1.0
-4.9650 1.8461 2.5517
-4.0675 -1.5844 -6.7679
-2.0491 -10.6640 3.7280
O Fe Ti
32 18 6
direct
0.5000 0.2559 0.9817
0.0000 0.7597 0.0182
0.7294 0.4994 0.1282
0.2294 0.0006 0.6282
0.0000 0.2338 0.2605
0.7632 0.9827 0.1176
0.5000 0.7403 0.5182
0.7706 0.9994 0.3718
0.2368 0.9827 0.1176
0.2706 0.5006 0.8718
0.0000 0.7559 0.5183
0.7368 0.4827 0.3824
0.0000 0.2619 0.7593
0.5000 0.2662 0.7605
0.7632 0.0173 0.8824
0.7294 0.5006 0.8718
0.2632 0.5173 0.6176
0.2368 0.0173 0.8824
0.7368 0.5173 0.6176
0.7706 0.0006 0.6282
0.2632 0.4827 0.3824
0.5000 0.7619 0.7407
0.5000 0.7441 0.0183
0.0000 0.2403 0.9818
0.0000 0.2441 0.4817
0.2706 0.4994 0.1282
0.5000 0.2381 0.2593
0.5000 0.7338 0.2395
0.5000 0.2597 0.4818
0.2294 0.9994 0.3718
0.0000 0.7662 0.7395
0.0000 0.7381 0.2407
0.2489 0.2577 0.8714
0.5000 0.5000 0.5000
0.0000 0.0000 0.0000
0.5000 0.1341 0.6225
0.5000 0.1186 0.1163
0.0000 0.3814 0.6163
0.7489 0.7577 0.6286
0.7511 0.2577 0.8714
0.0000 0.6341 0.8775
0.2511 0.7577 0.6286
0.5000 0.8814 0.8837
0.7511 0.7423 0.1286
0.2511 0.2423 0.3714
0.5000 0.8659 0.3775
0.0000 0.6186 0.3837
0.0000 0.3659 0.1225
0.2489 0.7423 0.1286
0.7489 0.2423 0.3714
0.5000 0.5176 0.7351
0.5000 0.4824 0.2649
0.0000 0.9824 0.2351
0.5000 0.5000 0.0000
0.0000 0.0000 0.5000
0.0000 0.0176 0.7649
```

Computed properties:
magnetic moment	18.0	μB per formula unit
uncorrected formation energy	-2.00	eV/atom

=====

# 7
Entry from the Alexandria database: TiFe2O4 at its PBEsol-relaxed geometry (SCAN).

```
TiFe2O4
1.0
-4.1546 2.2701 3.1592
-0.8495 -1.6059 5.3939
7.3165 7.2439 1.7433
O Fe Ti
16 8 4
direct
0.6446 0.6389 0.3268
0.8440 0.3653 0.0856
0.6336 0.1486 0.8932
0.8514 0.3664 0.6068
0.8791 0.8942 0.6434
0.1560 0.6347 0.9144
0.6389 0.6446 0.8268
0.1486 0.6336 0.3932
0.1209 0.1058 0.3566
0.3554 0.3611 0.6732
0.1058 0.1209 0.8566
0.6347 0.1560 0.4144
0.3611 0.3554 0.1732
0.8942 0.8791 0.1434
0.3664 0.8514 0.1068
0.3653 0.8440 0.5856
0.5000 0.0000 0.0000
0.0000 0.5000 0.5000
0.5000 0.5000 0.0000
0.5000 0.5000 0.5000
0.5899 0.9881 0.2548
0.9881 0.5899 0.7548
0.0119 0.4101 0.2452
0.4101 0.0119 0.7452
0.0000 0.0000 0.5000
0.0000 0.0000 0.0000
0.2840 0.7160 0.2500
0.7160 0.2840 0.7500
```

Computed properties:
energy above the most stable polymorph in this dataset	0.159	eV/atom
magnetic moment	7.0	μB per formula unit
uncorrected formation energy	-1.99	eV/atom

=====

# 8
Entry from the Alexandria database: Ti3FeO at its PBEsol-relaxed geometry (SCAN).

```
Ti3FeO
1.0
4.3713 0.0000 0.0000
0.0000 4.3713 0.0000
0.0000 0.0000 4.3713
Ti Fe O
3 1 1
direct
0.5000 0.0000 0.0000
0.0000 0.5000 0.0000
0.0000 0.0000 0.5000
0.0000 0.0000 0.0000
0.5000 0.5000 0.5000
```

Computed properties:
magnetic moment	0.0	μB per formula unit
uncorrected formation energy	0.54	eV/atom

=====

# 9
Entry from the Alexandria database: TlFe2O at its PBEsol-relaxed geometry (SCAN).

```
TlFe2O
1.0
-0.7353 -3.6794 -1.9685
1.1330 -3.6476 1.8344
-2.9670 -2.6385 1.4797
Fe O Tl
2 1 1
direct
0.2500 0.2500 0.2500
0.7500 0.7500 0.7500
0.0000 0.0000 0.0000
0.5000 0.5000 0.5000
```

Computed properties:
magnetic moment	5.8	μB per formula unit
uncorrected formation energy	0.49	eV/atom

=====

# 10
Entry from the Alexandria database: ZrTlFeO2 at its PBEsol-relaxed geometry (SCAN).

```
ZrTlFeO2
1.0
3.9038 0.0000 0.0000
0.0000 3.9038 0.0000
0.0000 0.0000 5.0233
Fe O Zr Tl
1 2 1 1
direct
0.0000 0.0000 0.0000
0.5000 0.0000 0.0000
0.0000 0.5000 0.0000
0.5000 0.5000 0.5000
0.0000 0.0000 0.5000
```

Computed properties:
magnetic moment	3.6	μB per formula unit
uncorrected formation energy	-0.42	eV/atom

=====

# 11
Entry from the Alexandria database: Tm3Fe5O12 at its PBEsol-relaxed geometry (SCAN).

```
Tm3Fe5O12
1.0
10.4283 0.0000 0.0000
-3.4761 9.8319 0.0000
-3.4761 -4.9160 8.5147
Fe O Tm
20 48 12
direct
0.8750 0.7500 0.6250
0.5000 0.0000 0.0000
0.1250 0.2500 0.3750
0.2500 0.3750 0.1250
0.5000 0.5000 0.5000
0.5000 0.5000 0.0000
0.6250 0.2500 0.8750
0.3750 0.7500 0.1250
0.0000 0.5000 0.0000
0.8750 0.1250 0.7500
0.1250 0.8750 0.2500
0.7500 0.1250 0.3750
0.6250 0.3750 0.2500
0.3750 0.6250 0.7500
0.5000 0.0000 0.5000
0.0000 0.0000 0.5000
0.0000 0.0000 0.0000
0.7500 0.6250 0.8750
0.0000 0.5000 0.5000
0.2500 0.8750 0.6250
0.7974 0.8284 0.9189
0.4691 0.2974 0.8785
0.7974 0.9691 0.3785
0.2974 0.9189 0.8284
0.5309 0.7026 0.1215
0.1716 0.5811 0.7026
0.0309 0.9095 0.8284
0.0811 0.4095 0.3785
0.4095 0.5309 0.3284
0.2026 0.1716 0.0811
0.3785 0.9095 0.0811
0.9189 0.3284 0.7974
0.1215 0.9189 0.0905
0.8785 0.0811 0.9095
0.9189 0.5905 0.6215
0.3284 0.2974 0.4189
0.8785 0.7974 0.4691
0.4189 0.7974 0.3284
0.8284 0.4189 0.2974
0.2974 0.3785 0.9691
0.6215 0.0905 0.9189
0.5309 0.8284 0.9095
0.9691 0.8785 0.2974
0.3785 0.4691 0.7974
0.7026 0.0811 0.1716
0.1215 0.2026 0.5309
0.5811 0.2026 0.6716
0.9095 0.5811 0.8785
0.4691 0.1716 0.0905
0.9095 0.3284 0.5309
0.5811 0.3785 0.4095
0.6215 0.5309 0.2026
0.1716 0.5905 0.9691
0.4189 0.6215 0.5905
0.9691 0.0905 0.1716
0.4095 0.8785 0.5811
0.0905 0.4189 0.1215
0.0905 0.6716 0.4691
0.8284 0.4095 0.0309
0.5905 0.4691 0.6716
0.7026 0.6215 0.0309
0.2026 0.0309 0.6215
0.6716 0.7026 0.5811
0.6716 0.9691 0.5905
0.5905 0.1215 0.4189
0.3284 0.0309 0.4095
0.0309 0.1215 0.7026
0.0811 0.6716 0.2026
0.3750 0.1250 0.2500
0.6250 0.8750 0.7500
0.3750 0.2500 0.6250
0.1250 0.3750 0.7500
0.1250 0.7500 0.8750
0.8750 0.6250 0.2500
0.2500 0.1250 0.8750
0.8750 0.2500 0.1250
0.6250 0.7500 0.3750
0.2500 0.6250 0.3750
0.7500 0.8750 0.1250
0.7500 0.3750 0.6250
```

Computed properties:
magnetic moment	17.0	μB per formula unit
uncorrected formation energy	-2.50	eV/atom

=====

# 12
Entry from the Alexandria database: VFeO4 at its PBEsol-relaxed geometry (SCAN).

```
VFeO4
1.0
4.8995 -0.0234 0.0000
-1.8648 4.5309 0.0000
0.0000 0.0000 5.7694
O Fe V
8 2 2
direct
0.2735 0.7265 0.4751
0.2550 0.2916 0.7500
0.2735 0.7265 0.0249
0.7265 0.2735 0.5249
0.7084 0.7450 0.7500
0.7265 0.2735 0.9751
0.7450 0.7084 0.2500
0.2916 0.2550 0.2500
0.5000 0.5000 0.0000
0.5000 0.5000 0.5000
0.1465 0.8535 0.2500
0.8535 0.1465 0.7500
```

Computed properties:
magnetic moment	1.0	μB per formula unit
uncorrected formation energy	-2.08	eV/atom